1.
Density functional theory data (PBE) for crystalline Li4BrO at its relaxed geometry.

The structure in CIF format:
```
data_Li4BrO
_chemical_formula_sum 'Li8 Br2 O2'
_space_group_name_H-M_alt 'C 1 2/m 1'
_space_group_IT_number 12
_cell_length_a 5.222
_cell_length_b 5.222
_cell_length_c 6.327
_cell_angle_alpha 90.00
_cell_angle_beta 90.18
_cell_angle_gamma 90.00
loop_
_space_group_symop_operation_xyz
'x,y,z'
'-x,-y,-z'
'-x,y,-z'
'x,-y,z'
'x+1/2,y+1/2,z'
'-x+1/2,-y+1/2,-z'
'-x+1/2,y+1/2,-z'
'x+1/2,-y+1/2,z'
loop_
_atom_site_label
_atom_site_type_symbol
_atom_site_fract_x
_atom_site_fract_y
_atom_site_fract_z
_atom_site_occupancy
Li1 Li 0.249 0.250 0.171 1
Br1 Br 0.000 0.000 0.500 1
O1 O 0.000 0.500 0.000 1
```

2.
Density functional theory data (PBE) for crystalline LiBrO at its relaxed geometry.

The structure in CIF format:
```
data_LiBrO
_chemical_formula_sum 'Li4 Br4 O4'
_space_group_name_H-M_alt 'A m a 2'
_space_group_IT_number 40
_cell_length_a 7.058
_cell_length_b 4.351
_cell_length_c 8.360
_cell_angle_alpha 90.00
_cell_angle_beta 90.00
_cell_angle_gamma 90.00
loop_
_space_group_symop_operation_xyz
'x,y,z'
'-x,-y,z'
'-x+1/2,y,z'
'x+1/2,-y,z'
'x,y+1/2,z+1/2'
'-x,-y+1/2,z+1/2'
'-x+1/2,y+1/2,z+1/2'
'x+1/2,-y+1/2,z+1/2'
loop_
_atom_site_label
_atom_site_type_symbol
_atom_site_fract_x
_atom_site_fract_y
_atom_site_fract_z
_atom_site_occupancy
Li1 Li 0.000 0.000 0.000 1
Br1 Br 0.250 0.064 0.390 1
O1 O 0.250 0.156 0.958 1
```

3.
Density functional theory data (PBE) for crystalline LiBrO at its relaxed geometry.

The structure in CIF format:
```
data_LiBrO
_chemical_formula_sum 'Li2 Br2 O2'
_space_group_name_H-M_alt 'P m m a'
_space_group_IT_number 51
_cell_length_a 6.614
_cell_length_b 3.794
_cell_length_c 4.236
_cell_angle_alpha 90.00
_cell_angle_beta 90.00
_cell_angle_gamma 90.00
loop_
_space_group_symop_operation_xyz
'x,y,z'
'-x,-y,-z'
'-x+1/2,-y,z'
'x+1/2,y,-z'
'x+1/2,-y,-z'
'-x+1/2,y,z'
'-x,y,-z'
'x,-y,z'
loop_
_atom_site_label
_atom_site_type_symbol
_atom_site_fract_x
_atom_site_fract_y
_atom_site_fract_z
_atom_site_occupancy
Li1 Li 0.250 0.000 0.244 1
Br1 Br 0.250 0.500 0.703 1
O1 O 0.000 0.000 0.000 1
```

4.
Density functional theory data (PBE) for crystalline Li5BrO5 at its relaxed geometry.

The structure in CIF format:
```
data_Li5BrO5
_chemical_formula_sum 'Li10 Br2 O10'
_space_group_name_H-M_alt 'C 1 2/m 1'
_space_group_IT_number 12
_cell_length_a 9.600
_cell_length_b 4.121
_cell_length_c 5.823
_cell_angle_alpha 90.00
_cell_angle_beta 108.90
_cell_angle_gamma 90.00
loop_
_space_group_symop_operation_xyz
'x,y,z'
'-x,-y,-z'
'-x,y,-z'
'x,-y,z'
'x+1/2,y+1/2,z'
'-x+1/2,-y+1/2,-z'
'-x+1/2,y+1/2,-z'
'x+1/2,-y+1/2,z'
loop_
_atom_site_label
_atom_site_type_symbol
_atom_site_fract_x
_atom_site_fract_y
_atom_site_fract_z
_atom_site_occupancy
Li1 Li 0.000 0.000 0.000 1
Li2 Li 0.186 0.500 0.362 1
Li3 Li 0.200 0.500 0.831 1
Br1 Br 0.000 0.000 0.500 1
O1 O 0.000 0.500 0.500 1
O2 O 0.145 0.000 0.327 1
O3 O 0.159 0.000 0.819 1
```

5.
Density functional theory data (PBE) for crystalline LiBrO4 at its relaxed geometry.

The structure in CIF format:
```
data_LiBrO4
_chemical_formula_sum 'Li2 Br2 O8'
_space_group_name_H-M_alt 'P 1 21/c 1'
_space_group_IT_number 14
_cell_length_a 5.572
_cell_length_b 4.673
_cell_length_c 5.418
_cell_angle_alpha 90.00
_cell_angle_beta 113.27
_cell_angle_gamma 90.00
loop_
_space_group_symop_operation_xyz
'x,y,z'
'-x,-y,-z'
'-x,y+1/2,-z+1/2'
'x,-y+1/2,z+1/2'
loop_
_atom_site_label
_atom_site_type_symbol
_atom_site_fract_x
_atom_site_fract_y
_atom_site_fract_z
_atom_site_occupancy
Li1 Li 0.000 0.000 0.000 1
Br1 Br 0.500 0.000 0.500 1
O1 O 0.200 0.158 0.382 1
O2 O 0.345 0.749 0.701 1
```

6.
Density functional theory data (PBE) for crystalline LiBr2O at its relaxed geometry.

The structure in CIF format:
```
data_LiBr2O
_chemical_formula_sum 'Li3 Br6 O3'
_space_group_name_H-M_alt 'R -3 m'
_space_group_IT_number 166
_space_group_name_Hall '-R 3 2"'
_cell_length_a 4.0557
_cell_length_b 4.0557
_cell_length_c 20.7999
_cell_angle_alpha 90.00
_cell_angle_beta 90.00
_cell_angle_gamma 120.00
loop_
_atom_site_label
_atom_site_type_symbol
_atom_site_fract_x
_atom_site_fract_y
_atom_site_fract_z
_atom_site_occupancy
Li1 Li 0.0000 0.0000 0.0000 1
Br1 Br 0.0000 0.0000 0.4001 1
O1 O 0.0000 0.0000 0.5000 1
```

7.
Density functional theory data (PBE) for crystalline LiBr2O at its relaxed geometry.

The structure in CIF format:
```
data_LiBr2O
_chemical_formula_sum 'Li4 Br8 O4'
_space_group_name_H-M_alt 'I -4 2 d'
_space_group_IT_number 122
_space_group_name_Hall 'I -4 2bw'
_cell_length_a 5.358
_cell_length_b 5.358
_cell_length_c 13.251
_cell_angle_alpha 90.00
_cell_angle_beta 90.00
_cell_angle_gamma 90.00
loop_
_atom_site_label
_atom_site_type_symbol
_atom_site_fract_x
_atom_site_fract_y
_atom_site_fract_z
_atom_site_occupancy
Li1 Li 0.000 0.000 0.000 1
Br1 Br 0.175 0.250 0.625 1
O1 O 0.000 0.000 0.500 1
```

8.
Density functional theory data (PBE) for crystalline LiBrO at its relaxed geometry.

The structure in CIF format:
```
data_LiBrO
_chemical_formula_sum 'Li4 Br4 O4'
_space_group_name_H-M_alt 'P 1 21/c 1'
_space_group_IT_number 14
_cell_length_a 9.723
_cell_length_b 5.343
_cell_length_c 5.342
_cell_angle_alpha 90.00
_cell_angle_beta 101.98
_cell_angle_gamma 90.00
loop_
_space_group_symop_operation_xyz
'x,y,z'
'-x,-y,-z'
'-x,y+1/2,-z+1/2'
'x,-y+1/2,z+1/2'
loop_
_atom_site_label
_atom_site_type_symbol
_atom_site_fract_x
_atom_site_fract_y
_atom_site_fract_z
_atom_site_occupancy
Li1 Li 0.121 0.000 0.296 1
Br1 Br 0.156 0.000 0.809 1
O1 O 0.452 0.020 0.407 1
```

9.
Density functional theory data (PBE) for crystalline Li4BrO2 at its relaxed geometry.

The structure in CIF format:
```
data_Li4BrO2
_chemical_formula_sum 'Li4 Br1 O2'
_space_group_name_H-M_alt 'P 1 2/m 1'
_space_group_IT_number 10
_cell_length_a 5.135
_cell_length_b 3.073
_cell_length_c 6.596
_cell_angle_alpha 90.00
_cell_angle_beta 100.77
_cell_angle_gamma 90.00
loop_
_space_group_symop_operation_xyz
'x,y,z'
'-x,-y,-z'
'-x,y,-z'
'x,-y,z'
loop_
_atom_site_label
_atom_site_type_symbol
_atom_site_fract_x
_atom_site_fract_y
_atom_site_fract_z
_atom_site_occupancy
Li1 Li 0.190 0.000 0.136 1
Li2 Li 0.296 0.500 0.861 1
Br1 Br 0.000 0.000 0.500 1
O1 O 0.000 0.500 0.000 1
O2 O 0.500 0.000 0.000 1
```

10.
Density functional theory data (PBE) for crystalline LiBr2O at its relaxed geometry.

The structure in CIF format:
```
data_LiBr2O
_chemical_formula_sum 'Li4 Br8 O4'
_space_group_name_H-M_alt 'F m -3 m'
_space_group_IT_number 225
_space_group_name_Hall '-F 4 2 3'
_cell_length_a 6.864
_cell_length_b 6.864
_cell_length_c 6.864
_cell_angle_alpha 90.00
_cell_angle_beta 90.00
_cell_angle_gamma 90.00
loop_
_atom_site_label
_atom_site_type_symbol
_atom_site_fract_x
_atom_site_fract_y
_atom_site_fract_z
_atom_site_occupancy
Li1 Li 0.000 0.000 0.000 1
Br1 Br 0.250 0.250 0.250 1
O1 O 0.000 0.000 0.500 1
```

11.
Density functional theory data (PBE) for crystalline LiPBrO2 at its relaxed geometry.

The structure in CIF format:
```
data_LiPBrO2
_chemical_formula_sum 'Li1 P1 Br1 O2'
_space_group_name_H-M_alt 'P 4/m m m'
_space_group_IT_number 123
_space_group_name_Hall '-P 4 2'
_cell_length_a 3.984
_cell_length_b 3.984
_cell_length_c 5.004
_cell_angle_alpha 90.00
_cell_angle_beta 90.00
_cell_angle_gamma 90.00
loop_
_atom_site_label
_atom_site_type_symbol
_atom_site_fract_x
_atom_site_fract_y
_atom_site_fract_z
_atom_site_occupancy
Li1 Li 0.000 0.000 0.000 1
P1 P 0.500 0.500 0.000 1
Br1 Br 0.500 0.500 0.500 1
O1 O 0.000 0.500 0.500 1
```

12.
Density functional theory data (PBE) for crystalline LiPBrO2 at its relaxed geometry.

The structure in CIF format:
```
data_LiPBrO2
_chemical_formula_sum 'Li1 P1 Br1 O2'
_space_group_name_H-M_alt 'P 4/m m m'
_space_group_IT_number 123
_space_group_name_Hall '-P 4 2'
_cell_length_a 3.750
_cell_length_b 3.750
_cell_length_c 5.694
_cell_angle_alpha 90.00
_cell_angle_beta 90.00
_cell_angle_gamma 90.00
loop_
_atom_site_label
_atom_site_type_symbol
_atom_site_fract_x
_atom_site_fract_y
_atom_site_fract_z
_atom_site_occupancy
Li1 Li 0.000 0.000 0.000 1
P1 P 0.000 0.000 0.500 1
Br1 Br 0.500 0.500 0.500 1
O1 O 0.000 0.500 0.000 1
```

Per-record E_form (uncorrected), meV per atom: -1128 -820 -403 -1238 1 -242 -144 -994 -1500 110 556 454